Density functional theory data (PBE with a Hubbard U) for Ba2ZrCo2O6 after structural relaxation.

Results
DOS(E_F) in states/eV/atom: 0.55
Theoretical density in Mg/m³: 5.55
Space-group type: R-3m
Final energy in eV/atom: -6.9200

a b c (Å): 6.0551 6.0551 6.4862
angles (deg): 62.18 62.18 60.00
Last column: nearest neighbours and their distance in Å.
Atoms (fractional coordinates):
Ba1 0.7767 0.7767 0.6700  9 O 2.87-3.07
Ba2 0.2233 0.2233 0.3300  9 O 2.87-3.07
Zr1 0.0000 0.0000 0.0000  6 O 2.12
Co1 0.4311 0.4311 0.7067  3 O 1.86
Co2 0.5689 0.5689 0.2933  3 O 1.86
O1 0.7614 0.7614 0.2406  1 Co 1.86
O2 0.2365 0.7614 0.2406  1 Co 1.86
O3 0.7614 0.2365 0.2406  1 Co 1.86
O4 0.2386 0.7635 0.7594  1 Co 1.86
O5 0.7635 0.2386 0.7594  1 Co 1.86
O6 0.2386 0.2386 0.7594  1 Co 1.86